Entry 1:
Entry from Alexandria via LeMat-Bulk: a geometry-optimized TbNdTmSc structure (PBE). Values from VASP.

Values from the calculation:
Formation energy (kcal/mol of atoms): 1.27
Total magnetization (Bohr magnetons per cell): 0.00

Cell and atoms, written as Quantum ESPRESSO input:
```
&SYSTEM
  ibrav = 0, nat = 4, ntyp = 4
/
ATOMIC_SPECIES
Sc 44.96 Sc.upf
Nd 144.24 Nd.upf
Tm 168.93 Tm.upf
Tb 158.93 Tb.upf
CELL_PARAMETERS angstrom
-0.668 0.143 -3.456
-1.220 -2.691 1.921
-8.621 6.574 3.730
ATOMIC_POSITIONS angstrom
Sc -2.240 -1.835 1.813
Nd -4.223 1.487 -1.257
Tm -5.843 3.797 0.945
Tb -8.408 4.303 3.257
```

---

Entry 2:
Entry from Alexandria via LeMat-Bulk: a geometry-optimized Tb5NdTmSc2 structure (PBE). Values from VASP.

Values from the calculation:
Formation energy (kcal/mol of atoms): 3.86
Total magnetization (Bohr magnetons per cell): 0.00

Cell and atoms, written as Quantum ESPRESSO input:
```
&SYSTEM
  ibrav = 0, nat = 18, ntyp = 4
/
ATOMIC_SPECIES
Nd 144.24 Nd.upf
Tb 158.93 Tb.upf
Sc 44.96 Sc.upf
Tm 168.93 Tm.upf
CELL_PARAMETERS angstrom
5.608 0.000 0.000
-2.804 10.776 0.000
0.000 0.000 9.338
ATOMIC_POSITIONS angstrom
Nd 2.804 6.819 4.838
Tb 2.804 10.561 4.784
Tb 2.804 2.316 5.115
Tb 0.000 0.215 0.115
Tb 2.804 4.162 2.036
Tb 0.000 8.460 0.446
Tb 0.000 6.614 6.705
Nd 0.000 3.956 0.168
Tb 0.000 10.089 6.987
Tb 2.804 0.687 2.318
Sc 2.804 8.328 7.717
Tm 0.000 8.681 3.924
Tb 0.000 5.731 3.099
Sc 0.000 2.914 6.548
Tb 2.804 5.045 7.769
Sc 2.804 7.862 1.879
Tm 2.804 2.095 8.593
Sc 0.000 2.448 3.048
```

---

Entry 3:
Entry from Alexandria via LeMat-Bulk: a geometry-optimized Tb2NdTmSc structure (PBE). Values from VASP.

Values from the calculation:
Formation energy (kcal/mol of atoms): 7.86
Total magnetization (Bohr magnetons per cell): 0.00

Cell and atoms, written as Quantum ESPRESSO input:
```
&SYSTEM
  ibrav = 0, nat = 10, ntyp = 4
/
ATOMIC_SPECIES
Tb 158.93 Tb.upf
Sc 44.96 Sc.upf
Tm 168.93 Tm.upf
Nd 144.24 Nd.upf
CELL_PARAMETERS angstrom
7.098 0.000 0.000
0.000 8.186 0.000
0.000 -4.093 5.626
ATOMIC_POSITIONS angstrom
Tb 0.000 5.713 0.000
Sc 1.775 4.093 5.557
Tb 3.549 5.713 0.000
Tb 3.549 2.473 0.000
Tm 1.775 0.000 2.988
Nd 1.775 4.093 2.581
Nd 5.324 0.000 3.045
Tm 5.324 4.093 2.638
Tb 0.000 2.473 0.000
Sc 5.324 0.000 0.070
```